# 1
Material: Hf4Al3Au
Method: DFT, PBE
State: optimized geometry

Geometry as POSCAR:
```
Hf4Al3Au
1.0
3.283 0.000 0.000
0.000 4.275 0.000
0.000 0.000 10.980
Hf Al Au
4 3 1
direct
0.000 0.000 0.000
0.000 0.500 0.326
0.500 0.000 0.493
0.500 0.500 0.830
0.000 0.500 0.590
0.500 0.000 0.233
0.500 0.500 0.091
0.000 0.000 0.732
```

Properties
Uncorrected energy (eV/atom): -7.206
SG: Pmm2
Energy of formation (eV/atom): -0.416


# 2
Material: Hf2AlAu
Method: DFT, PBE
State: optimized geometry

Geometry as POSCAR:
```
Hf2AlAu
1.0
1.619 0.935 8.947
-1.619 0.935 8.947
0.000 -1.870 8.947
Hf Al Au
2 1 1
direct
0.250 0.250 0.250
0.750 0.750 0.750
0.500 0.500 0.500
0.000 0.000 0.000
```

Properties
Uncorrected energy (eV/atom): -6.903
SG: R-3m
Energy of formation (eV/atom): -0.171


# 3
Material: Hf2Al2Au
Method: DFT, PBE
State: optimized geometry

Geometry as POSCAR:
```
Hf2Al2Au
1.0
6.573 0.000 0.000
0.000 6.573 0.000
0.000 0.000 4.291
Hf Al Au
4 4 2
direct
0.163 0.337 0.000
0.337 0.837 0.000
0.663 0.163 0.000
0.837 0.663 0.000
0.137 0.637 0.500
0.363 0.137 0.500
0.637 0.863 0.500
0.863 0.363 0.500
0.000 0.000 0.500
0.500 0.500 0.500
```

Properties
Uncorrected energy (eV/atom): -6.636
Energy above the lowest structure with this stoichiometry (meV per atom): 0
SG: P4/mbm
Energy of formation (eV/atom): -0.502


# 4
Material: Hf2AlAu
Method: DFT, PBE
State: optimized geometry

Geometry as POSCAR:
```
Hf2AlAu
1.0
4.238 0.000 0.000
0.000 4.238 0.000
0.000 0.000 4.225
Hf Al Au
2 1 1
direct
0.000 0.500 0.000
0.500 0.000 0.000
0.000 0.000 0.500
0.500 0.500 0.500
```

Properties
Uncorrected energy (eV/atom): -7.119
SG: P4/mmm
Energy of formation (eV/atom): -0.387


# 5
Material: Hf2AlAu2
Method: DFT, PBE
State: optimized geometry

Geometry as POSCAR:
```
Hf2AlAu2
1.0
2.238 -6.911 0.000
2.238 6.911 0.000
0.000 0.000 3.056
Hf Al Au
2 1 2
direct
0.112 0.888 0.000
0.888 0.112 0.000
0.500 0.500 0.500
0.310 0.690 0.500
0.690 0.310 0.500
```

Properties
Uncorrected energy (eV/atom): -6.503
Energy above the lowest structure with this stoichiometry (meV per atom): 0
SG: Cmmm
Energy of formation (eV/atom): -0.462


# 6
Material: HfAlAu3
Method: DFT, PBE
State: optimized geometry

Geometry as POSCAR:
```
HfAlAu3
1.0
8.830 -2.402 0.000
8.830 2.402 0.000
-1.307 0.000 4.626
Hf Al Au
2 2 6
direct
0.115 0.115 0.364
0.885 0.885 0.636
0.381 0.381 0.130
0.619 0.619 0.870
0.192 0.192 0.941
0.293 0.293 0.542
0.464 0.464 0.715
0.536 0.536 0.285
0.707 0.707 0.458
0.808 0.808 0.059
```

Properties
Uncorrected energy (eV/atom): -5.034
Energy above the lowest structure with this stoichiometry (meV per atom): 117
SG: C2/m
Energy of formation (eV/atom): -0.329


# 7
Material: Hf3Al3Au
Method: DFT, PBE
State: optimized geometry

Geometry as POSCAR:
```
Hf3Al3Au
1.0
1.873 -5.211 0.000
1.873 5.211 0.000
0.000 0.000 13.557
Hf Al Au
6 6 2
direct
0.001 0.999 0.750
0.300 0.700 0.097
0.300 0.700 0.403
0.700 0.300 0.597
0.700 0.300 0.903
0.999 0.001 0.250
0.268 0.732 0.750
0.413 0.587 0.603
0.413 0.587 0.897
0.587 0.413 0.103
0.587 0.413 0.397
0.732 0.268 0.250
0.000 0.000 0.000
0.000 0.000 0.500
```

Properties
Uncorrected energy (eV/atom): -6.725
SG: Cmcm
Energy of formation (eV/atom): -0.387


# 8
Material: Hf2AlAu
Method: DFT, PBE
State: optimized geometry

Geometry as POSCAR:
```
Hf2AlAu
1.0
4.238 0.000 0.000
0.000 1.660 5.548
0.000 -1.660 5.548
Hf Al Au
2 1 1
direct
0.000 0.000 0.000
0.500 0.336 0.336
0.000 0.741 0.741
0.500 0.600 0.600
```

Properties
Uncorrected energy (eV/atom): -7.170
SG: Amm2
Energy of formation (eV/atom): -0.438


Q: Which value of uncorrected energy does entry 8 give?
A: -7.170 eV/atom


Q: The highest energy of formation belongs to which entry?
A: number 2